AlCrIr2: relaxed, PBE.

```
AlCrIr2
1.0
4.7984 -0.0121 0.0000
1.8963 4.4078 0.0000
-3.3474 -2.1979 2.6438
Ir Al Cr
2 1 1
Direct
0.0000 0.0000 0.0000
0.2500 0.7500 0.5000
0.5000 0.5000 0.0000
0.7500 0.2500 0.5000
```

Calculated values
Its symmetry is I-4m2, No. 119. For the total magnetization, the calculation gives 2.052 μB/f.u. For the calculated density, the calculation gives 13.7 g cm⁻³. The calculation puts the density of states at the Fermi level at 0.6926 states/eV per atom. The calculated formation energy is -1.5 eV per formula unit.

ZnIn2SiC: relaxed, PBE.

```
ZnIn2SiC
1.0
-0.6600 3.9457 3.3495
-4.3352 0.3946 -1.3190
-1.4347 -3.3837 3.7033
Si In Zn C
1 2 1 1
Direct
0.0000 0.5000 0.0000
0.0000 0.0000 0.5000
0.5000 0.0000 0.0000
0.0000 0.0000 0.0000
0.5000 0.5000 0.5000
```

Calculated values
Its symmetry is P4/mmm, No. 123. For the total magnetization, the calculation gives 1.628 μB/f.u. For the calculated density, the calculation gives 4.5 g cm⁻³. The calculation puts the density of states at the Fermi level at 0.4355 states/eV per atom. The formation energy without anion corrections comes out at 1.685 eV/atom.

CaPmTmTl: relaxed, PBE.

```
CaPmTmTl
1.0
-2.4653 -1.4759 4.7813
-2.6622 -4.8878 0.3726
2.1478 -4.1174 3.0904
Ca Tm Pm Tl
1 1 1 1
Direct
0.7500 0.7500 0.7500
0.2500 0.2500 0.2500
0.5000 0.5000 0.5000
0.0000 0.0000 0.0000
```

Calculated values
Its symmetry is F-43m, No. 216. For the total magnetization, the calculation gives 0.916 μB/f.u. For the calculated density, the calculation gives 7.6 g cm⁻³. The calculation puts the density of states at the Fermi level at 1.7041 states/eV per atom. The calculated formation energy is 0.2 eV per formula unit.

NpPa2Ir: relaxed, PBE.

```
NpPa2Ir
1.0
-0.1216 1.4439 2.6520
-2.0398 -0.8187 2.0741
6.1180 -6.6186 5.6060
Np Pa Ir
1 2 1
Direct
0.0000 0.0000 0.0000
0.0897 0.0897 0.7308
0.9103 0.9103 0.2692
0.5000 0.5000 0.5000
```

Calculated values
Its symmetry is R-3m, No. 166. For the total magnetization, the calculation gives 2.692 μB/f.u. For the calculated density, the calculation gives 17.9 g cm⁻³. The calculation puts the density of states at the Fermi level at 2.1628 states/eV per atom. For the relative energy among the computed polymorphs, the calculation gives 0.445 eV/atom. The calculated formation energy is 0.7 eV per formula unit.

Pr2MgRu: relaxed, PBE.

```
Pr2MgRu
1.0
-2.9952 1.4064 2.2530
-2.4992 -2.5423 1.8209
3.4094 -0.4904 8.3950
Pr Mg Ru
2 1 1
Direct
0.2712 0.2712 0.1864
0.7288 0.7288 0.8136
0.5000 0.5000 0.5000
0.0000 0.0000 0.0000
```

Calculated values
Its symmetry is R-3m, No. 166. For the total magnetization, the calculation gives 0.000 μB/f.u. For the calculated density, the calculation gives 5.6 g cm⁻³. The calculation puts the density of states at the Fermi level at 0.6675 states/eV per atom. The calculated formation energy is 0.1 eV per formula unit.

Pr7SiCl12: relaxed, PBE.

```
Pr7SiCl12
1.0
-0.7494 8.6264 5.1715
-6.3444 -0.4913 -6.6563
-1.1654 -7.3132 5.4734
Pr Cl Si
7 12 1
Direct
0.0284 0.9155 0.6989
0.1130 0.7834 0.0845
0.8870 0.2166 0.9155
0.9716 0.0845 0.3011
0.5000 0.0000 0.0000
0.6704 0.6989 0.7834
0.3296 0.3011 0.2166
0.6176 0.7835 0.0843
0.3824 0.2165 0.9157
0.8341 0.3008 0.2165
0.0783 0.8567 0.3894
0.6889 0.6106 0.4673
0.7784 0.4673 0.8567
0.4667 0.0843 0.3008
0.3111 0.3894 0.5327
0.9217 0.1433 0.6106
0.1659 0.6992 0.7835
0.2216 0.5327 0.1433
0.5333 0.9157 0.6992
0.0000 0.0000 0.0000
```

Calculated values
Its symmetry is R-3, No. 148. For the total magnetization, the calculation gives 0.000 μB/f.u. For the calculated density, the calculation gives 3.7 g cm⁻³. The calculation puts the density of states at the Fermi level at 0.5067 states/eV per atom. The formation energy without anion corrections comes out at -1.946 eV/atom.

La3InO: relaxed, PBE.

```
La3InO
1.0
3.5178 -2.0310 0.0000
0.0000 4.0620 0.0000
0.0000 0.0000 21.2158
O La In
2 6 2
Direct
0.3333 0.6667 0.7500
0.6667 0.3333 0.2500
0.3333 0.6667 0.6132
0.0000 0.0000 0.7500
0.6667 0.3333 0.1132
0.6667 0.3333 0.3868
0.0000 0.0000 0.2500
0.3333 0.6667 0.8868
0.0000 0.0000 0.5000
0.0000 0.0000 0.0000
```

Calculated values
Its symmetry is P6_3/mmc, No. 194. For the total magnetization, the calculation gives 0.429 μB/f.u. For the calculated density, the calculation gives 6.0 g cm⁻³. The calculation puts the density of states at the Fermi level at 1.1036 states/eV per atom. The formation energy without anion corrections comes out at -1.200 eV/atom.

CsNa: relaxed, PBE.

```
CsNa
1.0
-2.0217 -0.9691 -11.9154
-11.2384 -3.9664 2.2294
-4.0762 11.4163 -0.2369
Cs Na
6 6
Direct
0.0000 0.5000 0.7500
0.5000 0.2500 0.0000
0.0000 0.5000 0.2500
0.2500 0.0000 0.5000
0.7500 0.0000 0.5000
0.5000 0.7500 0.0000
0.2500 0.5000 0.0000
0.0000 0.2500 0.5000
0.5000 0.0000 0.7500
0.5000 0.0000 0.2500
0.0000 0.7500 0.5000
0.7500 0.5000 0.0000
```

Calculated values
Its symmetry is Pm-3n, No. 223. For the total magnetization, the calculation gives 0.000 μB/f.u. For the calculated density, the calculation gives 0.9 g cm⁻³. The calculated formation energy is 0.5 eV per formula unit.

YHf2Pd9: relaxed, PBE.

```
YHf2Pd9
1.0
4.0481 0.0000 0.0000
0.0000 4.0481 0.0000
0.0000 0.0000 12.1605
Pd Hf Y
9 2 1
Direct
0.5000 0.0000 0.5000
0.0000 0.5000 0.8239
0.5000 0.5000 0.0000
0.0000 0.5000 0.1761
0.5000 0.5000 0.3379
0.5000 0.0000 0.1761
0.0000 0.5000 0.5000
0.5000 0.0000 0.8239
0.5000 0.5000 0.6621
0.0000 0.0000 0.6663
0.0000 0.0000 0.3337
0.0000 0.0000 0.0000
```

Calculated values
Its symmetry is P4/mmm, No. 123. For the total magnetization, the calculation gives 0.000 μB/f.u. For the calculated density, the calculation gives 11.7 g cm⁻³. The calculation puts the density of states at the Fermi level at 0.0866 states/eV per atom. The calculated formation energy is -10.7 eV per formula unit.

Pm2NiCl: relaxed, PBE.

```
Pm2NiCl
1.0
-1.6186 3.3940 1.3073
-3.7881 0.8627 -0.8685
-4.0398 -2.0718 6.4386
Ni Pm Cl
1 2 1
Direct
0.6672 0.6672 0.9983
0.0676 0.0676 0.7973
0.2668 0.2668 0.1997
0.4984 0.4984 0.5048
```

Calculated values
Its symmetry is R3m, No. 160. For the total magnetization, the calculation gives 0.000 μB/f.u. For the calculated density, the calculation gives 6.2 g cm⁻³. The calculation puts the density of states at the Fermi level at 0.8842 states/eV per atom. For the relative energy among the computed polymorphs, the calculation gives 0.022 eV/atom. The formation energy without anion corrections comes out at -0.890 eV/atom.

P2SBrN: relaxed, PBE.

```
P2SBrN
1.0
4.9427 0.0000 0.0000
0.0000 4.9427 0.0000
0.0000 0.0000 4.6854
P N Br S
2 1 1 1
Direct
0.5000 0.0000 0.0000
0.0000 0.5000 0.0000
0.5000 0.5000 0.5000
0.0000 0.0000 0.0000
0.0000 0.0000 0.5000
```

Calculated values
Its symmetry is P4/mmm, No. 123. For the total magnetization, the calculation gives 0.631 μB/f.u. For the calculated density, the calculation gives 2.7 g cm⁻³. The calculation puts the density of states at the Fermi level at 1.2386 states/eV per atom. For the relative energy among the computed polymorphs, the calculation gives 1.329 eV/atom. The formation energy without anion corrections comes out at 2.660 eV/atom.

SrPAu: relaxed, PBE.

```
SrPAu
1.0
8.7344 -0.0047 -0.0002
2.1974 3.7818 0.0000
0.0001 0.0000 4.3179
P Sr Au
2 2 2
Direct
0.0030 0.2087 0.0621
0.7010 0.5092 0.0621
0.8520 0.8589 0.5621
0.3520 0.3589 0.0621
0.1709 0.0400 0.5621
0.5331 0.6779 0.5621
```

Calculated values
Its symmetry is P2/m, No. 10. For the total magnetization, the calculation gives 0.000 μB/f.u. For the calculated density, the calculation gives 7.3 g cm⁻³. The calculation puts the density of states at the Fermi level at 0.2997 states/eV per atom. The calculated formation energy is -2.5 eV per formula unit.